Entry 1:
This record from Alexandria describes ThZnHg after structural relaxation. The functional is PBE.

Cell: 3.4369 3.4369 11.9525 Å, 90.00 90.00 90.00°
Space group I4mm (No. 107)
Asymmetric unit:
Th (0.0000, 0.0000, 0.0000)
Zn (0.0000, 0.0000, 0.6700)
Hg (0.0000, 0.0000, 0.3030)

Total energy (eV/cell): -18.8

***

Entry 2:
This record from Alexandria describes Th2ZnHg3 after structural relaxation. The functional is PBE.

Cell: 6.9602 9.8919 17.1437 Å, 90.00 90.00 90.00°
Space group Fmmm (No. 69)
Asymmetric unit:
Th (0.2474, 0.0000, 0.0000)
Th (0.2500, 0.2500, 0.2500)
Zn (0.0000, 0.0000, 0.3333)
Hg (0.0000, 0.0000, 0.1711)
Hg (0.0000, 0.2424, 0.4144)

Total energy (eV/cell): -148.3

***

Entry 3:
This record from Alexandria describes Th2Zn5Hg after structural relaxation. The functional is PBE.

Cell: 4.4418 16.5818 9.0574 Å, 90.00 90.00 90.00°
Space group Cmcm (No. 63)
Asymmetric unit:
Th (0.0000, 0.0000, 0.0000)
Th (0.0000, 0.2051, 0.2500)
Zn (0.0000, 0.1845, 0.6081)
Zn (0.0000, 0.3449, 0.5170)
Zn (0.0000, 0.3968, 0.2500)
Hg (0.0000, 0.4453, 0.7500)

Total energy (eV/cell): -94.4

***

Entry 4:
This record from Alexandria describes Th2Zn4Hg3 after structural relaxation. The functional is PBE.

Cell: 6.2190 16.0242 7.8715 Å, 90.00 90.00 90.00°
Space group Cmce (No. 64)
Asymmetric unit:
Th (0.0000, 0.1069, 0.0921)
Zn (0.0000, 0.1711, 0.4772)
Zn (0.2500, 0.0577, 0.7500)
Hg (0.0000, 0.0000, 0.5000)
Hg (0.2500, 0.2285, 0.7500)

Total energy (eV/cell): -88.7